[1]
LiScPtAu: optimized geometry, PBE.

abc: 4.5670 4.5670 4.5670
angles: 60.00 60.00 60.00
Fractional coordinates of all 4 atoms:
Au1 0.0000 0.0000 0.0000
Li1 0.7500 0.7500 0.7500
Pt1 0.5000 0.5000 0.5000
Sc1 0.2500 0.2500 0.2500

energy = -20.87 eV for the cell shown
polymorph energy (0 for the lowest one) = 0.000 eV per atom
magnetic moment = 0.00 μB per formula unit
calculated volume = 67 Å³/cell
SG = F-43m (216)



[2]
LiScPtAu: optimized geometry, PBE.

abc: 4.5752 4.5752 4.5752
angles: 60.00 60.00 60.00
Fractional coordinates of all 4 atoms:
Au1 0.0000 0.0000 0.0000
Li1 0.7500 0.7500 0.7500
Pt1 0.2500 0.2500 0.2500
Sc1 0.5000 0.5000 0.5000

energy = -20.33 eV for the cell shown
polymorph energy (0 for the lowest one) = 0.135 eV per atom
magnetic moment = 0.01 μB per formula unit
calculated volume = 68 Å³/cell
SG = F-43m (216)



[3]
Li2Sc2Tl2PtAu: optimized geometry, PBE.

abc: 4.7040 4.7040 6.6725
angles: 90.00 90.00 90.00
Fractional coordinates of all 8 atoms:
Au1 0.5000 0.5000 0.0000
Li1 0.0000 0.0000 0.0000
Li2 0.5000 0.5000 0.5000
Pt1 0.0000 0.0000 0.5000
Sc1 0.5000 0.0000 0.2587
Sc2 0.0000 0.5000 0.7413
Tl1 0.0000 0.5000 0.2545
Tl2 0.5000 0.0000 0.7455

energy = -34.83 eV for the cell shown
magnetic moment = 0.01 μB per formula unit
calculated volume = 148 Å³/cell
SG = P-4m2 (115)



[4]
LiPtAuSe3: optimized geometry, PBE.

abc: 3.7459 6.9487 10.1522
angles: 90.00 90.00 74.36
Fractional coordinates of all 12 atoms:
Au1 0.6493 0.7015 0.2500
Au2 0.3508 0.2985 0.7500
Li1 0.3034 0.3933 0.2500
Li2 0.6966 0.6067 0.7500
Pt1 0.0000 0.0000 0.0000
Pt2 0.0000 0.0000 0.5000
Se1 0.6269 0.7463 0.0114
Se2 0.9415 0.1170 0.2500
Se3 0.6269 0.7463 0.4886
Se4 0.3731 0.2537 0.5114
Se5 0.0585 0.8830 0.7500
Se6 0.3731 0.2537 0.9886

energy = -47.97 eV for the cell shown
magnetic moment = 0.00 μB per formula unit
calculated volume = 254 Å³/cell
SG = Cmcm (63)



The lowest calculated volume belongs to which entry?
number 1



Copy entry 3 word for word.
Li2Sc2Tl2PtAu: optimized geometry, PBE.

abc: 4.7040 4.7040 6.6725
angles: 90.00 90.00 90.00
Fractional coordinates of all 8 atoms:
Au1 0.5000 0.5000 0.0000
Li1 0.0000 0.0000 0.0000
Li2 0.5000 0.5000 0.5000
Pt1 0.0000 0.0000 0.5000
Sc1 0.5000 0.0000 0.2587
Sc2 0.0000 0.5000 0.7413
Tl1 0.0000 0.5000 0.2545
Tl2 0.5000 0.0000 0.7455

energy = -34.83 eV for the cell shown
magnetic moment = 0.01 μB per formula unit
calculated volume = 148 Å³/cell
SG = P-4m2 (115)



Which of these has the highest calculated volume?
LiPtAuSe3



Repeat the second record exactly.
LiScPtAu: optimized geometry, PBE.

abc: 4.5752 4.5752 4.5752
angles: 60.00 60.00 60.00
Fractional coordinates of all 4 atoms:
Au1 0.0000 0.0000 0.0000
Li1 0.7500 0.7500 0.7500
Pt1 0.2500 0.2500 0.2500
Sc1 0.5000 0.5000 0.5000

energy = -20.33 eV for the cell shown
polymorph energy (0 for the lowest one) = 0.135 eV per atom
magnetic moment = 0.01 μB per formula unit
calculated volume = 68 Å³/cell
SG = F-43m (216)